Compound: LiHoPbF6
Source: the Alexandria database
Functional: PBE-GGA
Structure: relaxed

```
LiHoPbF6
1.0
5.592 0.000 0.000
-2.796 4.843 0.000
0.000 0.000 10.656
Li Ho Pb F
2 2 2 12
Direct
0.333 0.667 0.250 Li
0.667 0.333 0.750 Li
0.333 0.667 0.750 Ho
0.667 0.333 0.250 Ho
0.000 0.000 0.000 Pb
0.000 0.000 0.500 Pb
0.010 0.363 0.141 F
0.010 0.647 0.359 F
0.353 0.363 0.359 F
0.353 0.990 0.141 F
0.363 0.010 0.641 F
0.363 0.353 0.859 F
0.637 0.647 0.141 F
0.637 0.990 0.359 F
0.647 0.010 0.859 F
0.647 0.637 0.641 F
0.990 0.353 0.641 F
0.990 0.637 0.859 F
```

Computed properties:
Crystal system: trigonal
Raw total energy, eV for the cell shown: -101.542
D(E_F), states/eV per atom: 0.000
SG: P-31c, No. 163
Magnetic moment, μB/cell: 0.0